Material: CeTh3In2
Method: DFT, PBE
State: relaxed

Values from the calculation:
- Energy of formation: -0.16 eV/atom
- Space-group type: Cmcm, No. 63

Cell lengths 6.0447, 7.7603, 7.7603 Å; angles 88.16, 90.00, 90.00 degrees
Each line ends with the local moment (μB).
Fractional positions:
Ce1 0.2500 0.3797 0.3797  0.41
Ce2 0.7500 0.6203 0.6203  0.41
Th1 0.7500 0.4026 0.0890  -0.02
Th2 0.7500 0.0890 0.4026  -0.02
Th3 0.2500 0.5974 0.9110  -0.02
Th4 0.7500 0.9008 0.9008  0.01
Th5 0.2500 0.0992 0.0992  0.01
Th6 0.2500 0.9110 0.5974  -0.02
In1 0.5000 0.7402 0.2598  0.00
In2 0.0000 0.7402 0.2598  0.00
In3 0.0000 0.2598 0.7402  0.00
In4 0.5000 0.2598 0.7402  0.00

Material: CeTh2In
Method: DFT, PBE
State: relaxed

Values from the calculation:
- Energy of formation: -0.16 eV/atom
- Space-group type: P4/mmm, No. 123

Cell lengths 4.8235, 4.9437, 4.9437 Å; angles 90.00, 90.00, 90.00 degrees
Each line ends with the local moment (μB).
Fractional positions:
Ce1 0.5000 0.5000 0.5000  0.43
Th1 0.0000 0.0000 0.5000  0.04
Th2 0.0000 0.5000 0.0000  0.04
In1 0.5000 0.0000 0.0000  0.00

Which energy above the lowest structure with this stoichiometry belongs to each record? In order, 0; 0 meV/atom.